No. 1
! PaSnGe PBE-GGA optimized geometry; values from VASP
&SYSTEM
  ibrav = 0, nat = 3, ntyp = 3
/
ATOMIC_SPECIES
Ge 72.64 Ge.upf
Pa 231.04 Pa.upf
Sn 118.71 Sn.upf
CELL_PARAMETERS angstrom
-0.174 -3.068 0.339
4.370 0.036 2.574
-4.400 0.522 2.467
ATOMIC_POSITIONS crystal
Ge 0.500 0.333 0.667
Pa 0.000 0.000 0.000
Sn 0.500 0.667 0.333
! Mass density = 10.2 Mg/m³
! DFT formation energy = -0.088 eV per atom
! Magnetic moment = 0.00 μB/cell
! Energy above the lowest structure with this stoichiometry = 0.270 eV/atom
! Raw total energy = -6.13 eV per atom
! DOS at the Fermi energy = 5.52 states/eV/f.u.

No. 2
! Tb4NiRu2 PBE-GGA optimized geometry; values from VASP
&SYSTEM
  ibrav = 0, nat = 7, ntyp = 3
/
ATOMIC_SPECIES
Tb 158.93 Tb.upf
Ni 58.69 Ni.upf
Ru 101.07 Ru.upf
CELL_PARAMETERS angstrom
4.584 0.000 1.432
2.068 4.091 1.432
-0.088 -0.054 8.335
ATOMIC_POSITIONS crystal
Tb 0.874 0.874 0.377
Tb 0.126 0.126 0.623
Tb 0.624 0.624 0.128
Tb 0.376 0.376 0.872
Ni 0.000 0.000 0.000
Ru 0.748 0.748 0.757
Ru 0.252 0.252 0.243
! Mass density = 9.5 Mg/m³
! DFT formation energy = -0.325 eV per atom
! Magnetic moment = 0.00 μB/cell
! Raw total energy = -6.45 eV per atom
! DOS at the Fermi energy = 5.04 states/eV/f.u.

No. 3
! Ac8La2Y3 PBE-GGA optimized geometry; values from VASP
&SYSTEM
  ibrav = 0, nat = 13, ntyp = 3
/
ATOMIC_SPECIES
Ac 227.00 Ac.upf
La 138.91 La.upf
Y 88.91 Y.upf
CELL_PARAMETERS angstrom
6.330 -0.767 1.012
-1.163 9.638 -0.037
-0.373 -4.730 9.043
ATOMIC_POSITIONS crystal
Ac 0.992 0.593 0.362
Ac 0.008 0.407 0.638
Ac 0.006 0.133 0.215
Ac 0.994 0.867 0.785
Ac 0.503 0.578 0.860
Ac 0.511 0.138 0.715
Ac 0.489 0.862 0.285
Ac 0.497 0.422 0.140
La 0.526 0.303 0.432
La 0.474 0.697 0.568
Y 0.500 0.000 0.000
Y 0.005 0.302 0.951
Y 0.995 0.698 0.049
! Mass density = 7.1 Mg/m³
! DFT formation energy = 0.145 eV per atom
! Magnetic moment = 0.00 μB/cell
! Energy above the lowest structure with this stoichiometry = 0.000 eV/atom
! Raw total energy = -4.63 eV per atom
! DOS at the Fermi energy = 20.13 states/eV/f.u.

No. 4
! Th2InI PBE-GGA optimized geometry; values from VASP
&SYSTEM
  ibrav = 0, nat = 4, ntyp = 3
/
ATOMIC_SPECIES
I 126.90 I.upf
Th 232.04 Th.upf
In 114.82 In.upf
CELL_PARAMETERS angstrom
3.710 0.000 0.000
0.000 3.710 0.000
0.000 0.000 8.511
ATOMIC_POSITIONS crystal
I 0.500 0.500 0.000
Th 0.000 0.000 0.748
Th 0.000 0.000 0.252
In 0.500 0.500 0.500
! Mass density = 10.0 Mg/m³
! Raw formation energy = -0.355 eV/atom
! Magnetic moment = 0.00 μB/cell
! Raw total energy = -5.14 eV per atom
! DOS at the Fermi energy = 3.69 states/eV/f.u.

No. 5
! Li3Pr2Cd4 PBE-GGA optimized geometry; values from VASP
&SYSTEM
  ibrav = 0, nat = 9, ntyp = 3
/
ATOMIC_SPECIES
Li 6.94 Li.upf
Pr 140.91 Pr.upf
Cd 112.41 Cd.upf
CELL_PARAMETERS angstrom
-3.185 -2.573 2.966
-0.157 -5.364 -0.514
7.013 -2.826 5.079
ATOMIC_POSITIONS crystal
Li 0.374 0.252 0.432
Li 0.000 0.000 0.000
Li 0.626 0.748 0.568
Pr 0.284 0.432 0.757
Pr 0.716 0.568 0.243
Cd 0.634 0.733 0.881
Cd 0.068 0.863 0.371
Cd 0.932 0.137 0.629
Cd 0.366 0.267 0.119
! Mass density = 5.9 Mg/m³
! DFT formation energy = -0.240 eV per atom
! Magnetic moment = 0.00 μB/cell
! Energy above the lowest structure with this stoichiometry = 0.000 eV/atom
! Raw total energy = -2.35 eV per atom
! DOS at the Fermi energy = 4.51 states/eV/f.u.

No. 6
! Er6Tm4Sc PBE-GGA optimized geometry; values from VASP
&SYSTEM
  ibrav = 0, nat = 11, ntyp = 3
/
ATOMIC_SPECIES
Er 167.26 Er.upf
Tm 168.93 Tm.upf
Sc 44.96 Sc.upf
CELL_PARAMETERS angstrom
6.417 0.000 0.000
0.000 6.417 0.000
-3.209 -3.209 8.392
ATOMIC_POSITIONS crystal
Er 0.855 0.485 0.341
Er 0.485 0.855 0.341
Er 0.515 0.515 0.659
Er 0.000 0.500 0.000
Er 0.145 0.145 0.659
Er 0.500 0.000 0.000
Tm 0.047 0.687 0.734
Tm 0.953 0.953 0.266
Tm 0.687 0.047 0.734
Tm 0.313 0.313 0.266
Sc 0.500 0.500 0.000
! Mass density = 8.3 Mg/m³
! DFT formation energy = 0.300 eV per atom
! Magnetic moment = 0.00 μB/cell
! Energy above the lowest structure with this stoichiometry = 0.162 eV/atom
! Raw total energy = -4.39 eV per atom
! DOS at the Fermi energy = 13.17 states/eV/f.u.